AsPb2W SCAN PBEsol geometry; DFT formation energy = 877 meV/atom; magnetic moment = 0.00 μB per atom; DOS(E_F) = 0.604 states/eV per atom; raw total energy = -59.483 eV per atom
1.0
3.9555 0.0000 0.0000
0.0000 4.9740 0.0000
-0.4740 0.0000 4.9222
As Pb W
1 2 1
Direct
0.0000 0.0000 0.0000
0.2870 0.5000 0.7381
0.7130 0.5000 0.2619
0.0000 0.0000 0.5000